No. 1
Material: SiTe2SeI
Method: DFT, PBE
State: optimized geometry

```
SiTe2SeI
1.0
5.483 0.000 0.000
0.000 5.483 0.000
0.000 0.000 5.628
Si Te Se I
1 2 1 1
Direct
0.000 0.000 0.000 Si
0.000 0.500 0.500 Te
0.500 0.000 0.500 Te
0.500 0.500 0.500 Se
0.500 0.500 0.000 I
```

Calculated values
* ΔE to the lowest computed polymorph: 186.4 meV/atom
* ΔE_f (raw): 0.80 eV/atom

No. 2
Material: Zn2GaPt
Method: DFT, PBE
State: optimized geometry

```
Zn2GaPt
1.0
3.431 0.000 0.000
0.000 3.431 0.000
0.000 0.000 5.205
Zn Ga Pt
2 1 1
Direct
0.000 0.000 0.245 Zn
0.000 0.000 0.755 Zn
0.500 0.500 0.500 Ga
0.500 0.500 0.000 Pt
```

Calculated values
* energy relative to the elements: -0.338 eV per atom

No. 3
Material: DyTmZn2
Method: DFT, PBE
State: optimized geometry

```
DyTmZn2
1.0
7.092 0.000 0.000
0.000 7.092 0.000
0.000 0.000 7.092
Dy Tm Zn
4 4 8
Direct
0.000 0.000 0.000 Dy
0.000 0.500 0.500 Dy
0.500 0.000 0.500 Dy
0.500 0.500 0.000 Dy
0.000 0.000 0.500 Tm
0.000 0.500 0.000 Tm
0.500 0.000 0.000 Tm
0.500 0.500 0.500 Tm
0.250 0.250 0.250 Zn
0.250 0.250 0.750 Zn
0.250 0.750 0.250 Zn
0.250 0.750 0.750 Zn
0.750 0.250 0.250 Zn
0.750 0.250 0.750 Zn
0.750 0.750 0.250 Zn
0.750 0.750 0.750 Zn
```

Calculated values
* ΔE to the lowest computed polymorph: 0.0 meV/atom
* energy relative to the elements: -0.351 eV per atom